# SrWO2 (PBE+U, relaxed)
data_SrWO2
_cell_length_a 13.314
_cell_length_b 3.486
_cell_length_c 6.344
_cell_angle_alpha 90.00
_cell_angle_beta 111.34
_cell_angle_gamma 90.00
_space_group_name_H-M_alt 'C 1 m 1'
_space_group_IT_number 8
loop_
_space_group_symop_operation_xyz
'x,y,z'
'x,-y,z'
'x+1/2,y+1/2,z'
'x+1/2,-y+1/2,z'
loop_
_atom_site_label
_atom_site_type_symbol
_atom_site_fract_x
_atom_site_fract_y
_atom_site_fract_z
Sr1 Sr 0.000 0.000 0.000
Sr2 Sr 0.169 0.000 0.633
W1 W 0.256 0.500 0.164
W2 W 0.409 0.000 0.449
O1 O 0.028 0.500 0.355
O2 O 0.117 0.500 0.864
O3 O 0.195 0.000 0.273
O4 O 0.375 0.000 0.719
# Total moment in μB/atom: 0.25
# ΔE to the lowest computed polymorph in meV/atom: 75